Cs3In8Pb3 (GGA-PBE, relaxed); spin magnetization = 0.00 μB per formula unit; polymorph energy (0 for the lowest one) = 0 meV per atom; E = -2.616 eV per atom
1.0
-2.667 5.866 7.782
2.667 -5.866 7.782
2.667 5.866 -7.782
Cs In Pb
3 8 3
direct
0.000 0.000 0.000
0.306 0.306 0.000
0.694 0.694 0.000
0.032 0.666 0.365
0.126 0.854 0.272
0.301 0.666 0.635
0.419 0.146 0.272
0.581 0.854 0.728
0.699 0.334 0.365
0.874 0.146 0.728
0.968 0.334 0.635
0.297 0.500 0.797
0.500 0.000 0.500
0.703 0.500 0.203